The following is a GGA-PBEsol calculation of a relaxed TcAgSb2I crystal, from Alexandria.

The calculation puts the density of states at the Fermi level at 4.02 states/eV/f.u. For the formation energy without anion corrections, the calculation gives 646 meV/atom. The electronic total energy is -4.446 eV per atom. The space group is P4/mmm (123). The calculation puts the density at 6.69 g/cm3.

Cell lengths 4.9805, 4.9805, 5.7646 Å; angles 90.00, 90.00, 90.00 degrees
Last column: nearest neighbours and their distance in Å.
Positions (direct):
1 Tc 0.0000 0.0000 0.0000  4 Sb 2.49
2 Ag 0.5000 0.5000 0.5000  4 I 3.52, 8 Sb 3.81
3 Sb 0.0000 0.5000 0.0000  2 Tc 2.49
4 Sb 0.5000 0.0000 0.0000  2 Tc 2.49
5 I 0.0000 0.0000 0.5000  2 Tc 2.88